(1)
K4BiPb | Alexandria via LeMat-Bulk | PBE-GGA | optimized geometry; symmetry = No. 216; magnetization = 0.0842 μB/atom; ΔH_f (0 K) = -249 meV/atom
1.0
10.280 0.000 5.935
3.427 9.692 5.935
0.000 0.000 11.870
K Bi Pb
16 4 4
Direct
0.398 0.398 0.398
0.805 0.398 0.398
0.398 0.805 0.398
0.398 0.398 0.805
0.542 0.542 0.958
0.958 0.958 0.542
0.542 0.958 0.542
0.958 0.542 0.958
0.958 0.542 0.542
0.542 0.958 0.958
0.222 0.222 0.778
0.778 0.778 0.222
0.222 0.778 0.222
0.778 0.222 0.778
0.778 0.222 0.222
0.222 0.778 0.778
0.613 0.613 0.613
0.162 0.613 0.613
0.613 0.162 0.613
0.613 0.613 0.162
0.183 0.183 0.183
0.452 0.183 0.183
0.183 0.452 0.183
0.183 0.183 0.452

(2)
K2Bi2Pb3 | Alexandria via LeMat-Bulk | PBE-GGA | optimized geometry; symmetry = No. 12; magnetization = 0.0000 μB/atom; ΔH_f (0 K) = -180 meV/atom
1.0
5.219 0.000 0.000
-2.610 6.436 -0.032
0.000 -3.002 7.855
K Bi Pb
2 2 3
Direct
0.853 0.705 0.213
0.147 0.295 0.787
0.850 0.700 0.760
0.150 0.300 0.240
0.500 0.000 0.000
0.609 0.218 0.433
0.391 0.782 0.567

(3)
K3Bi4Pb2 | Alexandria via LeMat-Bulk | PBE-GGA | optimized geometry; symmetry = No. 12; magnetization = 0.0000 μB/atom; ΔH_f (0 K) = -263 meV/atom; distance to the lowest polymorph of the same formula = 0 meV/atom
1.0
-1.733 -5.084 -0.522
6.229 0.361 3.699
-7.667 1.900 6.956
K Bi Pb
3 4 2
Direct
0.615 0.229 0.699
0.000 0.000 0.000
0.385 0.771 0.301
0.728 0.456 0.064
0.272 0.544 0.936
0.914 0.828 0.582
0.086 0.172 0.418
0.691 0.383 0.352
0.309 0.617 0.648

(4)
KBi2Pb2 | Alexandria via LeMat-Bulk | PBE-GGA | optimized geometry; symmetry = No. 139; magnetization = 0.0000 μB/atom; ΔH_f (0 K) = -159 meV/atom; distance to the lowest polymorph of the same formula = 0 meV/atom
1.0
5.309 0.000 0.000
0.000 5.309 0.000
2.654 2.654 7.091
Pb K Bi
2 1 2
Direct
0.750 0.250 0.500
0.250 0.750 0.500
0.000 0.000 0.000
0.385 0.385 0.231
0.615 0.615 0.769

(5)
KBiPb | Alexandria via LeMat-Bulk | PBE-GGA | optimized geometry; symmetry = No. 70; magnetization = 0.0000 μB/atom; ΔH_f (0 K) = -152 meV/atom
1.0
5.641 0.000 0.000
2.821 5.955 0.000
2.821 0.000 13.314
Bi Pb K
4 4 4
Direct
0.188 0.500 0.623
0.312 0.500 0.377
0.562 0.000 0.877
0.438 0.000 0.123
0.622 0.500 0.757
0.878 0.500 0.243
0.128 0.000 0.743
0.872 0.000 0.257
0.910 0.181 0.500
0.590 0.819 0.500
0.840 0.319 0.000
0.160 0.681 0.000

(6)
K2BiPb | Alexandria via LeMat-Bulk | PBE-GGA | optimized geometry; symmetry = No. 8; magnetization = 0.0000 μB/atom; ΔH_f (0 K) = -203 meV/atom; distance to the lowest polymorph of the same formula = 0 meV/atom
1.0
5.493 0.000 1.538
2.437 6.297 1.874
0.264 -0.199 9.635
K Bi Pb
4 2 2
Direct
0.199 0.242 0.360
0.818 0.839 0.525
0.437 0.436 0.689
0.818 0.341 0.024
0.126 0.991 0.758
0.510 0.687 0.292
0.116 0.690 0.079
0.519 0.990 0.972

(7)
K3BiPb | Alexandria via LeMat-Bulk | PBE-GGA | optimized geometry; symmetry = No. 221; magnetization = 0.4000 μB/atom; ΔH_f (0 K) = 157 meV/atom; distance to the lowest polymorph of the same formula = 363 meV/atom
1.0
6.762 0.000 0.000
0.000 6.762 0.000
0.000 0.000 6.762
Pb K Bi
1 3 1
Direct
0.500 0.500 0.500
0.000 0.500 0.000
0.000 0.000 0.500
0.500 0.000 0.000
0.000 0.000 0.000

(8)
KBi3Pb | Alexandria via LeMat-Bulk | PBE-GGA | optimized geometry; symmetry = No. 221; magnetization = 0.0000 μB/atom; ΔH_f (0 K) = 957 meV/atom; distance to the lowest polymorph of the same formula = 1039 meV/atom
1.0
-3.580 0.445 -4.684
-4.476 -2.136 3.218
-1.450 5.495 1.630
Pb K Bi
1 1 3
Direct
0.500 0.500 0.500
0.000 0.000 0.000
0.000 0.500 0.000
0.000 0.000 0.500
0.500 0.000 0.000

(9)
KBi3Pb | Alexandria via LeMat-Bulk | PBE-GGA | optimized geometry; symmetry = No. 221; magnetization = 0.0000 μB/atom; ΔH_f (0 K) = 376 meV/atom; distance to the lowest polymorph of the same formula = 458 meV/atom
1.0
-1.923 0.220 -5.744
-4.297 -4.078 1.282
-3.818 4.479 1.450
Pb K Bi
1 1 3
Direct
0.000 0.000 0.000
0.500 0.500 0.500
0.000 0.500 0.000
0.000 0.000 0.500
0.500 0.000 0.000

(10)
KBi3Pb | Alexandria via LeMat-Bulk | PBE-GGA | optimized geometry; symmetry = No. 4; magnetization = 0.0000 μB/atom; ΔH_f (0 K) = -82 meV/atom; distance to the lowest polymorph of the same formula = 0 meV/atom
1.0
-4.074 6.086 -0.345
-2.010 -0.941 7.159
5.549 3.830 2.054
K Bi Pb
2 6 2
Direct
0.475 0.436 0.700
0.975 0.916 0.201
0.291 0.274 0.200
0.494 0.899 0.971
0.994 0.454 0.471
0.791 0.079 0.701
0.994 0.454 0.930
0.493 0.899 0.430
0.125 0.804 0.701
0.625 0.549 0.201

(11)
K2Bi3Pb2 | Alexandria via LeMat-Bulk | PBE-GGA | optimized geometry; symmetry = No. 12; magnetization = 0.0000 μB/atom; ΔH_f (0 K) = -180 meV/atom
1.0
-3.600 -3.674 0.035
5.769 -2.091 -4.016
0.832 -0.732 8.700
K Bi Pb
2 3 2
Direct
0.853 0.707 0.218
0.147 0.293 0.782
0.500 0.000 0.000
0.585 0.171 0.423
0.415 0.829 0.577
0.846 0.693 0.734
0.154 0.307 0.266

(12)
K2BiPb | Alexandria via LeMat-Bulk | PBE-GGA | optimized geometry; symmetry = No. 122; magnetization = 0.0000 μB/atom; ΔH_f (0 K) = -1 meV/atom; distance to the lowest polymorph of the same formula = 203 meV/atom
1.0
-3.005 8.279 -4.969
-6.188 -5.647 -5.665
-6.944 1.746 -3.182
Pb K Bi
2 4 2
Direct
0.500 0.500 0.000
0.250 0.750 0.500
0.641 0.125 0.250
0.109 0.625 0.250
0.375 0.359 0.750
0.875 0.891 0.750
0.000 0.000 0.000
0.750 0.250 0.500